Record 1
15
Lattice="-6.633 -5.623 0.075 6.717 -1.106 5.413 -6.049 7.153 1.990" Properties=species:S:1:pos:R:3 comment="PBE Rb3Pr3USe8, optimized geometry" crystal_system=monoclinic energy_ev_per_atom=-5.3785 e_form_raw_mev_per_atom=-1618 total_magnetization_mub_per_fu=2.00 pbc="T T T"
Rb 0.000 0.000 0.000
Rb 3.358 -0.553 2.706
Rb 0.042 -3.364 2.744
Pr -6.341 0.765 1.032
Pr -2.982 0.212 3.739
Pr 0.334 3.024 3.701
U -3.024 3.576 0.995
Se 0.006 0.049 3.490
Se -5.971 0.375 3.988
Se -3.297 -2.776 3.663
Se -2.668 3.200 3.815
Se -6.803 -2.198 0.836
Se 0.839 2.622 6.641
Se -3.341 0.738 0.797
Se -2.623 -0.314 6.680

---

Record 2
20
Lattice="-6.537 4.329 -1.091 -0.901 -3.175 -7.194 -6.184 -8.226 4.405" Properties=species:S:1:pos:R:3 comment="PBE Rb2PrUSe6, optimized geometry" crystal_system=monoclinic energy_ev_per_atom=-5.1036 e_form_raw_mev_per_atom=-1213 total_magnetization_mub_per_fu=0.00 pbc="T T T"
Rb -8.983 -0.902 -7.181
Rb -8.357 -5.595 -0.842
Rb -4.639 -6.170 3.301
Rb -5.266 -1.478 -3.039
Pr -3.269 2.164 -0.546
Pr -3.543 -5.700 -1.395
U -6.361 -1.949 1.657
U -0.451 -1.587 -3.597
Se -2.263 -1.303 -5.542
Se -8.651 -3.347 -4.101
Se -11.359 -5.769 1.661
Se -4.971 -3.725 0.220
Se -5.491 -5.349 -3.547
Se -11.838 -7.251 -1.784
Se -8.132 -1.723 -0.334
Se -1.784 0.179 -2.096
Se -8.432 0.754 -3.633
Se -8.706 -7.109 -4.478
Se -5.190 -7.826 -0.248
Se -4.917 0.037 0.597